The following is a PBE-GGA calculation of crystalline AlIn3W at its relaxed geometry, from Alexandria.

Calculated values
ΔE_f	1.4190	eV per atom
offset from the most stable computed form	0.592	eV/atom

Cell lengths 5.2011, 5.2011, 5.2011 Å; angles 90.00, 90.00, 90.00 degrees
With the nearest neighbours (Å) after each atom.
Atoms (fractional coordinates):
In 0.5000 0.0000 0.0000  2 Al 2.60
W 0.5000 0.5000 0.5000  12 In 3.68
Al 0.0000 0.0000 0.0000  6 In 2.60
In 0.0000 0.5000 0.0000  2 Al 2.60
In 0.0000 0.0000 0.5000  2 Al 2.60

The following is a PBE-GGA calculation of crystalline Sm4SiTe2S at its relaxed geometry, from Alexandria.

Calculated values
energy relative to the elements, uncorrected	-1.4507	eV per atom

Cell lengths 4.2401, 7.2988, 7.6298 Å; angles 108.87, 90.00, 90.00 degrees
With the nearest neighbours (Å) after each atom.
Atoms (fractional coordinates):
Sm 0.0000 0.7381 0.2177  2 Si 2.90, 1 S 2.91, 3 Te 3.17-3.18
Sm 0.5000 0.2405 0.2139  1 Si 2.87, 2 S 2.90, 3 Te 3.19-3.21
Te 0.0000 0.5000 0.5000  6 Sm 3.17-3.19
S 0.0000 0.0000 0.0000  6 Sm 2.90-2.91
Si 0.5000 0.5000 0.0000  6 Sm 2.87-2.90
Sm 0.0000 0.2619 0.7823  2 Si 2.90, 1 S 2.91, 3 Te 3.17-3.18
Sm 0.5000 0.7595 0.7861  1 Si 2.87, 2 S 2.90, 3 Te 3.19-3.21
Te 0.5000 0.0000 0.5000  6 Sm 3.18-3.21

The following is a PBE-GGA calculation of crystalline Y2Al4GaCu3 at its relaxed geometry, from Alexandria.

Calculated values
ΔE_f	-0.4456	eV per atom

Cell lengths 4.1655, 4.1655, 10.2404 Å; angles 90.00, 90.00, 90.00 degrees
With the nearest neighbours (Å) after each atom.
Atoms (fractional coordinates):
Ga 0.5000 0.5000 0.5000  4 Al 2.54
Al 0.5000 0.5000 0.0000  4 Cu 2.46
Al 0.0000 0.0000 0.0000  4 Cu 2.46
Cu 0.0000 0.5000 0.1282  5 Al 2.36-2.46
Y 0.5000 0.0000 0.2479  8 Al 3.16-3.28, 6 Cu 3.19-3.32, 2 Ga 3.32
Cu 0.0000 0.0000 0.5000  4 Al 2.54
Cu 0.5000 0.0000 0.8718  5 Al 2.36-2.46
Al 0.0000 0.5000 0.3588  3 Cu 2.36-2.54, 2 Ga 2.54
Y 0.0000 0.5000 0.7521  8 Al 3.16-3.28, 6 Cu 3.19-3.32, 2 Ga 3.32
Al 0.5000 0.0000 0.6412  3 Cu 2.36-2.54, 2 Ga 2.54

Q: What is the formula in the first record?
A: AlIn3W